1.
Density functional theory data (GGA-PBEsol) for a relaxed structure of Zr3WN.

Properties
The calculation puts the density of states at the Fermi level at 2.398 states/eV/f.u. As for the total energy: -52.7 eV/cell. Its symmetry is Pm-3m, No. 221. The uncorrected formation energy is -624 meV/atom.

abc: 4.411 4.411 4.411
angles: 90.00 90.00 90.00
Positions (direct):
N  0.000  0.000  0.000
Zr  0.000  0.500  0.000
Zr  0.500  0.000  0.000
W  0.500  0.500  0.500
Zr  0.000  0.000  0.500



2.
Density functional theory data (GGA-PBEsol) for a relaxed structure of KCuSe2.

Properties
The calculation puts the density of states at the Fermi level at 2.344 states/eV/f.u. As for the total energy: -14.1 eV/cell. Its symmetry is P4mm, No. 99. The uncorrected formation energy is -240 meV/atom.

abc: 3.325 3.325 8.459
angles: 90.00 90.00 90.00
Positions (direct):
Cu  0.000  0.000  0.306
K  0.500  0.500  0.771
Se  0.000  0.000  0.022
Se  0.500  0.500  0.400



3.
Density functional theory data (GGA-PBEsol) for a relaxed structure of Ca2CdW.

Properties
The calculation puts the density of states at the Fermi level at 3.909 states/eV/f.u. As for the total energy: -16.7 eV/cell. Its symmetry is Pmmm, No. 47. As for the formation energy: 15.1 kcal/mol of atoms.

abc: 2.955 4.834 6.281
angles: 90.00 90.00 90.00
Positions (direct):
Ca  0.000  0.000  0.738
Ca  0.000  0.000  0.262
Cd  0.500  0.500  0.000
W  0.500  0.500  0.500



4.
Density functional theory data (GGA-PBEsol) for a relaxed structure of TlSeSN2.

Properties
The calculation puts the density of states at the Fermi level at 2.765 states/eV/f.u. As for the total energy: -18.2 eV/cell. Its symmetry is P4/mmm, No. 123. The uncorrected formation energy is 1950 meV/atom.

abc: 4.180 4.180 5.650
angles: 90.00 90.00 90.00
Positions (direct):
S  0.000  0.000  0.500
N  0.000  0.500  0.000
N  0.500  0.000  0.000
Tl  0.000  0.000  0.000
Se  0.500  0.500  0.500



5.
Density functional theory data (GGA-PBEsol) for a relaxed structure of MgFe2Co2.

Properties
The calculation puts the density of states at the Fermi level at 3.193 states/eV/f.u. As for the total energy: -33.9 eV/cell. Its symmetry is I4/mmm, No. 139. As for the formation energy: 5.7 kcal/mol of atoms.

abc: 3.723 3.723 5.506
angles: 109.76 109.76 90.00
Positions (direct):
Co  0.613  0.613  0.227
Co  0.387  0.387  0.773
Fe  0.750  0.250  0.500
Fe  0.250  0.750  0.500
Mg  0.000  0.000  0.000



6.
Density functional theory data (GGA-PBEsol) for a relaxed structure of MgInPb2.

Properties
The calculation puts the density of states at the Fermi level at 1.973 states/eV/f.u. As for the total energy: -12.8 eV/cell. Its symmetry is Pmm2, No. 25. As for the formation energy: -0.7 kcal/mol of atoms.

abc: 3.406 4.614 6.815
angles: 90.00 90.00 90.00
Positions (direct):
Pb  0.500  0.500  0.265
Mg  0.500  0.500  0.745
In  0.000  0.000  0.511
Pb  0.000  0.000  0.979